Material: MnTl2TeS4
Method: DFT, PBE-GGA
State: optimized geometry

For the formation energy (no corrections), the calculation gives -0.220 eV per atom. The density is 6.32 g/cm3.

The space group is Imma (No. 74) and the conventional cell measures 7.837, 8.436 and 11.442 Å, with angles of 90.00, 90.00 and 90.00 degrees. The inequivalent atoms are Mn at (0.250, 0.250, 0.250), Tl at (0.000, 0.000, 0.000), Tl at (0.250, 0.250, 0.750), Te at (0.000, 0.000, 0.500), S at (0.000, 0.046, 0.263) and S at (0.229, 0.250, 0.478).

Material: SrSc2Ni
Method: DFT, PBE-GGA
State: optimized geometry

The energy above the most stable polymorph in this dataset is 142 meV per atom. The density is 3.27 g/cm3. The value obtained for the formation energy is 100.2 meV/atom.

The space group is R-3m (No. 166, hexagonal axes) and the conventional cell measures 3.7384, 3.7384 and 29.7496 Å, with angles of 90.00, 90.00 and 120.00 degrees. The inequivalent atoms are Sr at (0.0000, 0.0000, 0.0000), Sc at (0.0000, 0.0000, 0.1218) and Ni at (0.0000, 0.0000, 0.5000).

Material: BaCaPb2
Method: DFT, PBE-GGA
State: optimized geometry

The density is 6.56 g/cm3. The value obtained for the formation energy is -488.4 meV/atom.

The space group is C2/m (No. 12) and the conventional cell measures 10.491, 4.864 and 6.339 Å, with angles of 90.00, 112.07 and 90.00 degrees. The inequivalent atoms are Ba at (0.000, 0.000, 0.000), Ca at (0.000, 0.500, 0.500) and Pb at (0.244, 0.000, 0.673).

Material: CaAc2N
Method: DFT, PBE-GGA
State: optimized geometry

The energy above the most stable polymorph in this dataset is 0 meV per atom. For the formation energy (no corrections), the calculation gives -0.481 eV per atom. The density is 6.35 g/cm3.

The space group is R3m (No. 160, hexagonal axes) and the conventional cell measures 3.8766, 3.8766 and 30.6146 Å, with angles of 90.00, 90.00 and 120.00 degrees. The inequivalent atoms are Ca at (0.0000, 0.0000, 0.0000), Ac at (0.0000, 0.0000, 0.2148), Ac at (0.0000, 0.0000, 0.4502) and N at (0.0000, 0.0000, 0.8358).

Material: HgBN3
Method: DFT, PBE-GGA
State: optimized geometry

For the formation energy (no corrections), the calculation gives 1.964 eV per atom. The density is 9.38 g/cm3.

The space group is Pm-3m (No. 221) and the conventional cell measures 3.553, 3.553 and 3.553 Å, with angles of 90.00, 90.00 and 90.00 degrees. The inequivalent atoms are Hg at (0.000, 0.000, 0.000), B at (0.500, 0.500, 0.500) and N at (0.000, 0.500, 0.500).

Material: La2Tb6SmTm
Method: DFT, PBE-GGA
State: optimized geometry

The density is 7.75 g/cm3. The value obtained for the formation energy is 116.8 meV/atom.

The space group is C2/c (No. 15) and the conventional cell measures 9.070, 15.038 and 9.899 Å, with angles of 90.00, 100.05 and 90.00 degrees. The inequivalent atoms are La at (0.243, 0.049, 0.042), Tb at (0.072, 0.192, 0.443), Tb at (0.097, 0.395, 0.619), Tb at (0.201, 0.221, 0.811), Sm at (0.000, 0.013, 0.750) and Tm at (0.000, 0.405, 0.250).

Material: CuGeF5
Method: DFT, PBE-GGA
State: optimized geometry

For the formation energy (no corrections), the calculation gives -1.964 eV per atom. The density is 3.99 g/cm3.

The space group is Immm (No. 71) and the conventional cell measures 3.861, 6.521 and 7.643 Å, with angles of 90.00, 90.00 and 90.00 degrees. The inequivalent atoms are Cu at (0.000, 0.000, 0.000), Ge at (0.000, 0.000, 0.500), F at (0.000, 0.000, 0.261), F at (0.000, 0.280, 0.500) and F at (0.000, 0.500, 0.000).

Material: Tm2CoCu
Method: DFT, PBE-GGA
State: optimized geometry

The energy above the most stable polymorph in this dataset is 22 meV per atom. The density is 10.08 g/cm3. The value obtained for the formation energy is -255.0 meV/atom.

The space group is P4/mmm (No. 123) and the conventional cell measures 3.336, 3.336 and 6.814 Å, with angles of 90.00, 90.00 and 90.00 degrees. The inequivalent atoms are Tm at (0.000, 0.000, 0.239), Co at (0.500, 0.500, 0.000) and Cu at (0.500, 0.500, 0.500).

Material: Si6Sb7
Method: DFT, PBE-GGA
State: optimized geometry

For the formation energy (no corrections), the calculation gives 0.614 eV per atom. The density is 4.80 g/cm3.

The space group is R-3m (No. 166, hexagonal axes) and the conventional cell measures 7.1567, 7.1567 and 23.9092 Å, with angles of 90.00, 90.00 and 120.00 degrees. The inequivalent atoms are Si at (0.0000, 0.0000, 0.0796), Si at (0.0000, 0.0000, 0.1786), Si at (0.0000, 0.0000, 0.3341), Sb at (0.0000, 0.0000, 0.5000) and Sb at (0.0135, 0.5067, 0.9205).

Material: CrAg2Ru
Method: DFT, PBE-GGA
State: optimized geometry

The energy above the most stable polymorph in this dataset is 228 meV per atom. The density is 9.66 g/cm3. The value obtained for the formation energy is 503.3 meV/atom.

The space group is I-4m2 (No. 119) and the conventional cell measures 4.077, 4.077 and 7.627 Å, with angles of 90.00, 90.00 and 90.00 degrees. The inequivalent atoms are Cr at (0.000, 0.000, 0.000), Ag at (0.000, 0.000, 0.500), Ag at (0.000, 0.500, 0.250) and Ru at (0.000, 0.500, 0.750).

Material: FeIrRu2
Method: DFT, PBE-GGA
State: optimized geometry

The energy above the most stable polymorph in this dataset is 94 meV per atom. The density is 13.60 g/cm3. The value obtained for the formation energy is 94.5 meV/atom.

The space group is R3m (No. 160, hexagonal axes) and the conventional cell measures 2.7055, 2.7055 and 26.0129 Å, with angles of 90.00, 90.00 and 120.00 degrees. The inequivalent atoms are Fe at (0.0000, 0.0000, 0.0000), Ir at (0.0000, 0.0000, 0.7482), Ru at (0.0000, 0.0000, 0.2508) and Ru at (0.0000, 0.0000, 0.5013).

Material: Pm2SmThP4
Method: DFT, PBE-GGA
State: optimized geometry

The density is 6.64 g/cm3. The value obtained for the formation energy is -1591.3 meV/atom.

The space group is P2/m (No. 10) and the conventional cell measures 7.145, 4.133 and 7.149 Å, with angles of 90.00, 109.44 and 90.00 degrees. The inequivalent atoms are Pm at (0.000, 0.000, 0.000), Pm at (0.500, 0.500, 0.000), Sm at (0.000, 0.500, 0.500), Th at (0.500, 0.000, 0.500), P at (0.250, 0.000, 0.748) and P at (0.251, 0.500, 0.252).